Entry from Alexandria via LeMat-Bulk: crystalline CdMo3Au at its relaxed geometry (PBE-GGA).

```
CdMo3Au
1.0
4.8774 0.0000 0.0000
0.0000 4.8774 0.0000
0.0000 0.0000 4.8774
Mo Au Cd
3 1 1
Cartesian
0.0000 2.4387 0.0000
0.0000 0.0000 2.4387
2.4387 0.0000 0.0000
0.0000 0.0000 0.0000
2.4387 2.4387 2.4387
```

The calculation puts the excess energy over the best structure of this formula in the dataset at 0.000 eV per formula unit. The volume comes out at 116.0 Å³/cell. Its space group is Pm-3m. For the total moment, the calculation gives 0.00 μB/f.u. Its crystal system is cubic. The calculation puts the calculated total energy at -26.14 eV/cell. The calculation puts the formation energy at 2109 meV per atom.